TaSbMo: optimized geometry, GGA-PBE.

Output
Spin magnetization: 0.00 μB/f.u.
Total energy: -8.9193 eV per atom
Formation energy from raw total energies: 0.016 eV per atom
Theoretical density: 11134 kg/m3

Unit cell a=7.4136 b=3.2808 c=10.0992 alpha=90.00 beta=104.49 gamma=90.00
Last column: nearest neighbours and their distance in Å.
Fractional coordinates of all 12 atoms:
Ta  0.2147  0.5000  0.5856  4 Mo 2.77-2.79, 4 Sb 2.95-3.07
Ta  0.7853  0.5000  0.4144  4 Mo 2.77-2.79, 4 Sb 2.95-3.07
Ta  0.2147  0.0000  0.0856  4 Mo 2.77-2.79, 4 Sb 2.95-3.07
Ta  0.7853  0.0000  0.9144  4 Mo 2.77-2.79, 4 Sb 2.95-3.07
Mo  0.0606  0.5000  0.8623  2 Mo 2.76, 4 Ta 2.77-2.79, 2 Sb 2.82
Mo  0.9394  0.0000  0.6377  2 Mo 2.76, 4 Ta 2.77-2.79, 2 Sb 2.82
Mo  0.9394  0.5000  0.1377  2 Mo 2.76, 4 Ta 2.77-2.79, 2 Sb 2.82
Mo  0.0606  0.0000  0.3623  2 Mo 2.76, 4 Ta 2.77-2.79, 2 Sb 2.82
Sb  0.3570  0.0000  0.8319  2 Mo 2.82, 4 Ta 2.95-3.07
Sb  0.6430  0.5000  0.6681  2 Mo 2.82, 4 Ta 2.95-3.07
Sb  0.6430  0.0000  0.1681  2 Mo 2.82, 4 Ta 2.95-3.07
Sb  0.3570  0.5000  0.3319  2 Mo 2.82, 4 Ta 2.95-3.07


LiPmGd: optimized geometry, GGA-PBE.

Output
Spin magnetization: 7.90 μB/f.u.
Total energy: -6.8431 eV per atom
Theoretical density: 5890 kg/m3

Unit cell a=3.6886 b=3.6886 c=6.9178 alpha=105.46 beta=105.46 gamma=90.00
Last column: nearest neighbours and their distance in Å.
Fractional coordinates of all 3 atoms:
Gd  0.0112  0.0112  0.0225  4 Li 3.27, 4 Pm 3.55
Pm  0.3230  0.3230  0.6459  4 Li 3.30, 4 Gd 3.55, 4 Pm 3.69
Li  0.6658  0.6658  0.3316  4 Gd 3.27, 4 Pm 3.30


Ce2GaSnIr: optimized geometry, GGA-PBE.

Output
Spin magnetization: 1.20 μB/f.u.
Total energy: -6.1650 eV per atom
Theoretical density: 8781 kg/m3

Unit cell a=4.2550 b=7.4203 c=8.6360 alpha=113.55 beta=90.00 gamma=90.00
Last column: nearest neighbours and their distance in Å.
Fractional coordinates of all 10 atoms:
Ir  0.2500  0.8762  0.9092  1 Ga 2.50
Ir  0.7500  0.1238  0.0908  1 Ga 2.50
Sn  0.2500  0.7265  0.3390  2 Ga 2.75
Sn  0.7500  0.2735  0.6610  2 Ga 2.75
Ga  0.7500  0.4761  0.2924  1 Ir 2.50, 2 Sn 2.75
Ga  0.2500  0.5239  0.7076  1 Ir 2.50, 2 Sn 2.75
Ce  0.2500  0.1777  0.3394  2 Ir 2.93, 3 Ga 3.19-3.21
Ce  0.7500  0.7094  0.0318  3 Ir 2.87-2.91
Ce  0.2500  0.2906  0.9682  3 Ir 2.87-2.91
Ce  0.7500  0.8223  0.6606  2 Ir 2.93, 3 Ga 3.19-3.21


CrCuHg: optimized geometry, GGA-PBE.

Output
Spin magnetization: 3.98 μB/f.u.
Total energy: -4.2346 eV per atom
Theoretical density: 10257 kg/m3

Unit cell a=4.4769 b=4.4769 c=2.9486 alpha=90.00 beta=90.00 gamma=120.00
Last column: nearest neighbours and their distance in Å.
Fractional coordinates of all 3 atoms:
Cu  0.6667  0.3333  0.4991  3 Hg 2.58
Cr  0.0000  0.0000  0.0001  2 Cr 2.95, 6 Cu 2.97-2.98, 6 Hg 2.97-2.98
Hg  0.3333  0.6667  0.5008  3 Cu 2.58


U2GaSi3Ni4: optimized geometry, GGA-PBE.

Output
Spin magnetization: 3.15 μB/f.u.
Total energy: -7.0357 eV per atom
Formation energy from raw total energies: -0.536 eV per atom
Theoretical density: 9532 kg/m3

Unit cell a=3.9582 b=3.9582 c=9.6163 alpha=90.00 beta=90.00 gamma=90.00
Last column: nearest neighbours and their distance in Å.
Fractional coordinates of all 10 atoms:
Ni  0.5000  0.5000  0.0000  4 Si 2.33
Ni  0.0000  0.0000  0.0000  4 Si 2.33
Ni  0.0000  0.5000  0.3632  3 Si 2.26-2.38, 2 Ga 2.38
Ni  0.5000  0.0000  0.6368  3 Si 2.26-2.38, 2 Ga 2.38
U  0.5000  0.0000  0.2442  6 Si 3.01-3.16, 8 Ni 3.02-3.07, 2 Ga 3.16
U  0.0000  0.5000  0.7558  6 Si 3.01-3.16, 8 Ni 3.02-3.07, 2 Ga 3.16
Si  0.5000  0.0000  0.8722  5 Ni 2.26-2.33
Si  0.0000  0.0000  0.5000  4 Ni 2.38
Si  0.0000  0.5000  0.1278  5 Ni 2.26-2.33
Ga  0.5000  0.5000  0.5000  4 Ni 2.38


LiCrPt: optimized geometry, GGA-PBE.

Output
Spin magnetization: 3.25 μB/f.u.
Total energy: -5.9481 eV per atom
Theoretical density: 9938 kg/m3

Unit cell a=4.6124 b=4.6124 c=4.6124 alpha=144.64 beta=130.93 gamma=61.92
Last column: nearest neighbours and their distance in Å.
Fractional coordinates of all 3 atoms:
Cr  0.0068  0.0068  0.0000  5 Li 2.55-2.76, 5 Pt 2.68-2.71, 2 Cr 2.80
Li  0.3294  0.3294  0.0000  5 Cr 2.55-2.76, 5 Pt 2.65-2.71, 2 Li 2.80
Pt  0.6638  0.6638  0.0000  5 Li 2.65-2.71, 5 Cr 2.68-2.71, 2 Pt 2.80